First-principles (PBE+U) data for a relaxed K3RbV2F9 crystal, as listed in Alexandria.

* M_tot: 5.0 μB per cell
* VASP energy: -5.192 eV per atom
* space-group type: P-3m1
* D(E_F): 0.28 states/eV/atom

Unit cell a=5.986 b=5.986 c=8.667 alpha=90.00 beta=90.00 gamma=120.00
Site moments in Bohr magnetons follow the coordinates.
Fractional positions:
V (0.333, 0.667, 0.141)  2.34
V (0.667, 0.333, 0.859)  2.34
F (0.500, 0.500, 0.000)  0.00
F (0.348, 0.174, 0.733)  0.00
F (0.826, 0.174, 0.733)  0.00
F (0.826, 0.652, 0.733)  0.00
F (0.000, 0.500, 0.000)  0.00
F (0.174, 0.826, 0.267)  0.00
F (0.652, 0.826, 0.267)  0.00
F (0.174, 0.348, 0.267)  0.00
F (0.500, 0.000, 0.000)  0.00
K (0.000, 0.000, 0.000)  0.00
K (0.667, 0.333, 0.265)  0.00
K (0.333, 0.667, 0.735)  0.00
Rb (0.000, 0.000, 0.500)  0.00